# SrZrTc2P, relaxed, DFT GGA-PBE
data_SrZrTc2P
_chemical_formula_sum 'Sr1 Zr1 Tc2 P1'
_symmetry_space_group_name_H-M 'P 4/m m m'
_symmetry_Int_Tables_number 123
_symmetry_space_group_name_Hall '-P 4 2'
_cell_length_a 4.506
_cell_length_b 4.506
_cell_length_c 5.206
_cell_angle_alpha 90.00
_cell_angle_beta 90.00
_cell_angle_gamma 90.00
loop_
_atom_site_label
_atom_site_type_symbol
_atom_site_fract_x
_atom_site_fract_y
_atom_site_fract_z
Sr1 Sr 0.000 0.000 0.000
Zr1 Zr 0.500 0.500 0.000
Tc1 Tc 0.000 0.500 0.500
P1 P 0.000 0.000 0.500
# total magnetic moment = 0.000 μB per cell
# formation energy from the elements = 2.6 eV per formula unit
# DOS at the Fermi energy = 1.27 states/eV per atom
# volume = 106 Å³/cell
# crystal system = tetragonal
# E = -0.248 hartree per atom